Sm7Ag2Bi2: relaxed, PBE.

Cell: 7.3164 7.3164 6.9694 Å, 90.00 90.00 101.84°
Fractional positions:
1 Sm 0.0000 0.0000 0.0000
2 Sm 0.0000 0.5000 0.2603
3 Sm 0.0000 0.5000 0.7397
4 Sm 0.5000 0.0000 0.2603
5 Sm 0.5000 0.0000 0.7397
6 Sm 0.5000 0.5000 0.2450
7 Sm 0.5000 0.5000 0.7550
8 Ag 0.2749 0.7251 0.0000
9 Ag 0.7251 0.2749 0.0000
10 Bi 0.1880 0.1880 0.5000
11 Bi 0.8120 0.8120 0.5000

The density of states at the Fermi level comes out at 12.7 states/eV/f.u. Its energy of formation is -120 meV per atom. The calculation puts the uncorrected energy at -47.82 eV/f.u.